A plane-wave DFT calculation with GGA-PBE was carried out for crystalline Sc4InFe at its relaxed geometry.

Unit cell a=8.228 b=12.148 c=5.578 alpha=90.00 beta=107.35 gamma=90.00
Space group C2/c (No. 15)
Symmetry-distinct sites (fractional):
Sc: 0.108 0.161 0.050
Sc: 0.227 0.424 0.378
In: 0.000 0.371 0.750
Fe: 0.000 0.001 0.250

Results
The value obtained for the formation energy is -141 kJ/mol of formula units. Its calculated volume is 22.176 Å³/atom. The calculation puts the spin magnetization at 0.0 μB per cell. The value obtained for the energy above the most stable polymorph in this dataset is 0.000 eV/atom.

A plane-wave DFT calculation with GGA-PBE was carried out for crystalline MgCdSiS2 at its relaxed geometry.

Unit cell a=4.578 b=4.578 c=5.380 alpha=90.00 beta=90.00 gamma=90.00
Space group P4/mmm (No. 123)
Symmetry-distinct sites (fractional):
Mg: 0.000 0.000 0.000
Cd: 0.500 0.500 0.000
Si: 0.000 0.000 0.500
S: 0.000 0.500 0.500

Results
Its calculated volume is 22.550 Å³/atom. The calculation puts the electronic total energy at -3.04 eV per atom. The calculation puts the spin magnetization at 0.0 μB per cell.

A plane-wave DFT calculation with GGA-PBE was carried out for crystalline Sm2Ga3Sn3 at its relaxed geometry.

Unit cell a=4.389 b=4.499 c=9.562 alpha=90.00 beta=90.00 gamma=90.00
Space group Pmmm (No. 47)
Symmetry-distinct sites (fractional):
Sm: 0.000 0.000 0.244
Ga: 0.500 0.000 0.000
Ga: 0.500 0.500 0.232
Sn: 0.000 0.500 0.000
Sn: 0.000 0.500 0.500
Sn: 0.500 0.000 0.500

Results
The value obtained for the formation energy is -388 kJ/mol of formula units. Its calculated volume is 23.603 Å³/atom. The calculation puts the spin magnetization at 0.0 μB per cell.

A plane-wave DFT calculation with GGA-PBE was carried out for crystalline ZnCr2Ru at its relaxed geometry.

Unit cell a=2.927 b=4.282 c=8.329 alpha=90.00 beta=90.00 gamma=90.00
Space group Imm2 (No. 44)
Symmetry-distinct sites (fractional):
Zn: 0.000 0.000 0.000
Cr: 0.000 0.000 0.484
Cr: 0.000 0.500 0.765
Ru: 0.000 0.500 0.231

Results
The value obtained for the formation energy is 46 kJ/mol of formula units. Its calculated volume is 13.050 Å³/atom. The calculation puts the spin magnetization at 0.1 μB per cell.

A plane-wave DFT calculation with GGA-PBE was carried out for crystalline ZrTa2In2Se6 at its relaxed geometry.

Unit cell a=6.330 b=11.071 c=8.276 alpha=90.00 beta=101.87 gamma=90.00
Space group C2/m (No. 12)
Symmetry-distinct sites (fractional):
Zr: 0.000 0.000 0.000
Ta: 0.000 0.369 0.000
In: 0.000 0.181 0.500
Se: 0.223 0.179 0.185
Se: 0.235 0.500 0.226

Results
Its calculated volume is 25.799 Å³/atom. The calculation puts the electronic total energy at -6.07 eV per atom. The calculation puts the spin magnetization at 0.0 μB per cell.

A plane-wave DFT calculation with GGA-PBE was carried out for crystalline TlAuSe2 at its relaxed geometry.

Unit cell a=4.2264 b=4.2264 c=19.3672 alpha=90.00 beta=90.00 gamma=120.00
Space group R3m (No. 160, hexagonal axes)
Symmetry-distinct sites (fractional):
Tl: 0.0000 0.0000 0.0000
Au: 0.0000 0.0000 0.7655
Se: 0.0000 0.0000 0.2583
Se: 0.0000 0.0000 0.4781

Results
Its calculated volume is 24.966 Å³/atom. The calculation puts the electronic total energy at -3.12 eV per atom. The calculation puts the spin magnetization at 0.0 μB per cell.

A plane-wave DFT calculation with GGA-PBE was carried out for crystalline Cd4Ag2Au at its relaxed geometry.

Unit cell a=8.421 b=8.421 c=8.428 alpha=90.00 beta=90.00 gamma=90.00
Space group I-42d (No. 122)
Symmetry-distinct sites (fractional):
Cd: 0.081 0.670 0.458
Ag: 0.120 0.750 0.125
Au: 0.000 0.000 0.500

Results
The value obtained for the formation energy is 0 kJ/mol of formula units. Its calculated volume is 21.346 Å³/atom. The calculation puts the spin magnetization at 0.0 μB per cell. The value obtained for the energy above the most stable polymorph in this dataset is 0.053 eV/atom.

A plane-wave DFT calculation with GGA-PBE was carried out for crystalline TbCeHo4Tm2 at its relaxed geometry.

Unit cell a=4.974 b=4.974 c=9.958 alpha=90.00 beta=90.00 gamma=90.00
Space group P4/mmm (No. 123)
Symmetry-distinct sites (fractional):
Tb: 0.000 0.000 0.000
Ce: 0.500 0.500 0.000
Ho: 0.000 0.500 0.251
Tm: 0.000 0.000 0.500
Tm: 0.500 0.500 0.500

Results
The value obtained for the formation energy is 35 kJ/mol of formula units. Its calculated volume is 30.797 Å³/atom. The calculation puts the spin magnetization at 0.9 μB per cell.

A plane-wave DFT calculation with GGA-PBE was carried out for crystalline EuTlZn2 at its relaxed geometry.

Unit cell a=4.731 b=4.731 c=4.311 alpha=90.00 beta=90.00 gamma=90.00
Space group P4/mmm (No. 123)
Symmetry-distinct sites (fractional):
Eu: 0.000 0.000 0.000
Tl: 0.500 0.500 0.000
Zn: 0.000 0.500 0.500

Results
The value obtained for the formation energy is -49 kJ/mol of formula units. Its calculated volume is 24.123 Å³/atom. The calculation puts the spin magnetization at 7.5 μB per cell.

A plane-wave DFT calculation with GGA-PBE was carried out for crystalline CeSmInCu at its relaxed geometry.

Unit cell a=7.464 b=7.464 c=7.464 alpha=90.00 beta=90.00 gamma=90.00
Space group F-43m (No. 216)
Symmetry-distinct sites (fractional):
Ce: 0.000 0.000 0.000
Sm: 0.000 0.000 0.500
In: 0.250 0.250 0.750
Cu: 0.250 0.250 0.250

Results
The value obtained for the formation energy is -67 kJ/mol of formula units. Its calculated volume is 25.991 Å³/atom. The calculation puts the spin magnetization at 5.6 μB per cell.

A plane-wave DFT calculation with GGA-PBE was carried out for crystalline CsAl3Si3O12 at its relaxed geometry.

Unit cell a=9.230 b=5.333 c=22.359 alpha=90.00 beta=99.11 gamma=90.00
Space group Cc (No. 9)
Symmetry-distinct sites (fractional):
Cs: 0.000 0.112 0.000
Al: 0.083 0.285 0.737
Al: 0.371 0.097 0.114
Al: 0.400 0.227 0.736
Si: 0.111 0.402 0.363
Si: 0.198 0.386 0.612
Si: 0.283 0.116 0.862
O: 0.027 0.039 0.211
O: 0.028 0.335 0.583
O: 0.067 0.446 0.291
O: 0.204 0.352 0.894
O: 0.212 0.150 0.382
O: 0.224 0.341 0.687
O: 0.241 0.332 0.095
O: 0.265 0.162 0.790
O: 0.298 0.184 0.582
O: 0.428 0.046 0.192
O: 0.459 0.118 0.893
O: 0.470 0.461 0.272

Results
Its calculated volume is 14.300 Å³/atom. The calculation puts the electronic total energy at -7.28 eV per atom. The calculation puts the spin magnetization at 0.3 μB per cell.

A plane-wave DFT calculation with GGA-PBE was carried out for crystalline BaSiN3 at its relaxed geometry.

Unit cell a=4.533 b=4.533 c=4.533 alpha=90.00 beta=90.00 gamma=90.00
Space group Pm-3m (No. 221)
Symmetry-distinct sites (fractional):
Ba: 0.000 0.000 0.000
Si: 0.500 0.500 0.500
N: 0.000 0.000 0.500

Results
Its calculated volume is 18.632 Å³/atom. The calculation puts the electronic total energy at -3.83 eV per atom. The calculation puts the spin magnetization at 1.9 μB per cell.

A plane-wave DFT calculation with GGA-PBE was carried out for crystalline CrInRe2 at its relaxed geometry.

Unit cell a=3.884 b=3.884 c=19.216 alpha=90.00 beta=90.00 gamma=90.00
Space group I-42d (No. 122)
Symmetry-distinct sites (fractional):
Cr: 0.000 0.000 0.000
In: 0.000 0.000 0.500
Re: 0.190 0.250 0.125

Results
The value obtained for the formation energy is 359 kJ/mol of formula units. Its calculated volume is 18.117 Å³/atom. The calculation puts the spin magnetization at 12.0 μB per cell.

A plane-wave DFT calculation with GGA-PBE was carried out for crystalline Mg2AgAsH at its relaxed geometry.

Unit cell a=5.113 b=5.113 c=5.001 alpha=90.00 beta=90.00 gamma=90.00
Space group P4/mmm (No. 123)
Symmetry-distinct sites (fractional):
Mg: 0.000 0.500 0.000
Ag: 0.000 0.000 0.500
As: 0.000 0.000 0.000
H: 0.500 0.500 0.500

Results
Its calculated volume is 26.148 Å³/atom. The calculation puts the electronic total energy at -2.34 eV per atom. The calculation puts the spin magnetization at 0.0 μB per cell.

A plane-wave DFT calculation with GGA-PBE was carried out for crystalline Zn2PtW at its relaxed geometry.

Unit cell a=2.8327 b=2.8327 c=26.2846 alpha=90.00 beta=90.00 gamma=120.00
Space group R-3m (No. 166, hexagonal axes)
Symmetry-distinct sites (fractional):
Zn: 0.0000 0.0000 0.2482
Pt: 0.0000 0.0000 0.5000
W: 0.0000 0.0000 0.0000

Results
The value obtained for the formation energy is 1 kJ/mol of formula units. Its calculated volume is 15.222 Å³/atom. The calculation puts the spin magnetization at 0.0 μB per cell. The value obtained for the energy above the most stable polymorph in this dataset is 0.116 eV/atom.

A plane-wave DFT calculation with GGA-PBE was carried out for crystalline Al2HgBr at its relaxed geometry.

Unit cell a=4.010 b=4.934 c=4.987 alpha=90.00 beta=94.52 gamma=90.00
Space group P2/m (No. 10)
Symmetry-distinct sites (fractional):
Al: 0.184 0.000 0.257
Hg: 0.000 0.500 0.500
Br: 0.500 0.500 0.000

Results
Its calculated volume is 24.593 Å³/atom. The calculation puts the spin magnetization at 0.0 μB per cell. The value obtained for the energy above the most stable polymorph in this dataset is 0.146 eV/atom.

A plane-wave DFT calculation with GGA-PBE was carried out for crystalline Na2ZrSc2Te6 at its relaxed geometry.

Unit cell a=7.213 b=12.470 c=8.065 alpha=90.00 beta=107.40 gamma=90.00
Space group C2/m (No. 12)
Symmetry-distinct sites (fractional):
Na: 0.000 0.166 0.000
Zr: 0.000 0.000 0.500
Sc: 0.000 0.332 0.500
Te: 0.239 0.500 0.719
Te: 0.241 0.165 0.721

Results
Its calculated volume is 31.463 Å³/atom. The calculation puts the electronic total energy at -4.97 eV per atom. The calculation puts the spin magnetization at 0.0 μB per cell.

A plane-wave DFT calculation with GGA-PBE was carried out for crystalline TaAlHg2 at its relaxed geometry.

Unit cell a=10.910 b=2.981 c=5.356 alpha=90.00 beta=116.80 gamma=90.00
Space group Cm (No. 8)
Symmetry-distinct sites (fractional):
Ta: 0.000 0.000 0.000
Al: 0.267 0.000 0.953
Hg: 0.007 0.500 0.526
Hg: 0.247 0.500 0.428

Results
The value obtained for the formation energy is 99 kJ/mol of formula units. Its calculated volume is 19.435 Å³/atom. The calculation puts the spin magnetization at 0.0 μB per cell.

A plane-wave DFT calculation with GGA-PBE was carried out for crystalline BeC at its relaxed geometry.

Unit cell a=3.863 b=3.863 c=3.863 alpha=90.00 beta=90.00 gamma=90.00
Space group Fm-3m (No. 225)
Symmetry-distinct sites (fractional):
Be: 0.000 0.000 0.000
C: 0.000 0.000 0.500

Results
The value obtained for the formation energy is 249 kJ/mol of formula units. Its calculated volume is 7.203 Å³/atom. The calculation puts the spin magnetization at 0.0 μB per cell. The value obtained for the energy above the most stable polymorph in this dataset is 0.969 eV/atom.

A plane-wave DFT calculation with GGA-PBE was carried out for crystalline Sr2InO at its relaxed geometry.

Unit cell a=3.7242 b=3.7242 c=29.1256 alpha=90.00 beta=90.00 gamma=120.00
Space group R-3m (No. 166, hexagonal axes)
Symmetry-distinct sites (fractional):
Sr: 0.0000 0.0000 0.1159
In: 0.0000 0.0000 0.0000
O: 0.0000 0.0000 0.5000

Results
Its calculated volume is 29.153 Å³/atom. The calculation puts the spin magnetization at 1.7 μB per cell. The value obtained for the energy above the most stable polymorph in this dataset is 0.244 eV/atom.